Entry a
The following is a PBE calculation of an optimized crystal structure of ScTaAg2, from Alexandria.

## Properties
Calculated volume in Å³ per atom: 18.8
Crystal system: orthorhombic
M_tot in μB/cell: 0.227
Space group: Amm2, No. 38

Lattice parameters (Å, degrees): 4.6158 2.8841 5.8394 75.71 90.00 90.00
Closest atoms and distances in Å follow each position.
Sites, in units of the cell vectors:
1 Sc 0.0000 0.4530 0.4692  2 Sc 2.88, 7 Ag 2.90-3.11
2 Ta 0.5000 0.7953 0.7838  2 Ta 2.88, 7 Ag 2.94-3.08
3 Ag 0.5000 0.0564 0.2646  4 Ag 2.81-2.88, 3 Ta 2.94-3.08, 4 Sc 2.96
4 Ag 0.0000 0.1952 0.9824  4 Ag 2.81-2.88, 3 Sc 2.90-3.11, 4 Ta 2.94-2.95

***

Entry b
The following is a PBE calculation of an optimized crystal structure of ScTaAg2, from Alexandria.

## Properties
Calculated volume in Å³ per atom: 18.8
Crystal system: monoclinic
M_tot in μB/cell: 0.000
Space group: P2/m, No. 10

Lattice parameters (Å, degrees): 2.8740 5.2529 5.9940 56.40 90.00 90.00
Closest atoms and distances in Å follow each position.
Sites, in units of the cell vectors:
1 Ag 0.5000 0.5000 0.0000  6 Ag 2.87-2.99, 2 Sc 3.00, 4 Ta 3.04
2 Ta 0.0000 0.0000 0.5000  2 Ta 2.87, 4 Sc 2.99, 6 Ag 3.00-3.04
3 Sc 0.5000 0.5000 0.5000  2 Sc 2.87, 4 Ta 2.99, 6 Ag 3.00-3.04
4 Ag 0.0000 0.0000 0.0000  6 Ag 2.87-2.99, 2 Ta 3.00, 4 Sc 3.04

***

Entry c
The following is a PBE calculation of an optimized crystal structure of ScTaAg2, from Alexandria.

## Properties
Calculated volume in Å³ per atom: 18.7
Crystal system: tetragonal
M_tot in μB/cell: 0.001
Space group: I-4m2, No. 119

Lattice parameters (Å, degrees): 5.3017 5.3017 5.3017 134.39 134.39 66.48
Closest atoms and distances in Å follow each position.
Sites, in units of the cell vectors:
1 Sc 0.5000 0.5000 0.0000  8 Ag 2.91-3.02, 4 Ta 3.02
2 Ag 0.0000 0.0000 0.0000  4 Sc 2.91, 4 Ta 3.02, 4 Ag 3.02
3 Ag 0.2500 0.7500 0.5000  4 Ta 2.91, 4 Sc 3.02, 4 Ag 3.02
4 Ta 0.7500 0.2500 0.5000  8 Ag 2.91-3.02, 4 Sc 3.02

***

Entry d
The following is a PBE calculation of an optimized crystal structure of ScTaAg2, from Alexandria.

## Properties
Calculated volume in Å³ per atom: 18.6
Crystal system: orthorhombic
M_tot in μB/cell: 0.002
Space group: Pmmm, No. 47

Lattice parameters (Å, degrees): 4.2766 2.8949 6.6808 64.28 90.00 90.00
Closest atoms and distances in Å follow each position.
Sites, in units of the cell vectors:
1 Sc 0.5000 0.2500 0.2500  2 Sc 2.89, 2 Ta 3.01, 8 Ag 3.01
2 Ta 0.5000 0.7500 0.7500  2 Ta 2.89, 8 Ag 2.97, 2 Sc 3.01
3 Ag 0.0000 0.0073 0.9930  4 Ag 2.89-3.09, 4 Ta 2.97, 4 Sc 3.01
4 Ag 0.0000 0.4927 0.5070  4 Ag 2.89-3.09, 4 Ta 2.97, 4 Sc 3.01

***

The most stable arrangement is entry d, and the next structure is 23 meV per atom less stable.

***

Entry a
The following is a PBE calculation of an optimized crystal structure of ScTaAg2, from Alexandria.

## Properties
Calculated volume in Å³ per atom: 18.6
Crystal system: tetragonal
M_tot in μB/cell: 0.001
Space group: P4/mmm, No. 123

Lattice parameters (Å, degrees): 2.9538 2.9538 8.5216 90.00 90.00 89.98
Closest atoms and distances in Å follow each position.
Sites, in units of the cell vectors:
1 Ag 0.0000 0.0000 0.9962  4 Ag 2.95, 4 Ta 2.96, 4 Sc 3.01
2 Sc 0.5000 0.5000 0.2500  4 Sc 2.95, 8 Ag 3.01
3 Ag 0.0000 0.0000 0.5038  4 Ag 2.95, 4 Ta 2.96, 4 Sc 3.01
4 Ta 0.5000 0.5000 0.7500  4 Ta 2.95, 8 Ag 2.96

***

Entry b
The following is a PBE calculation of an optimized crystal structure of ScTaAg2, from Alexandria.

## Properties
Calculated volume in Å³ per atom: 18.9
Crystal system: cubic
M_tot in μB/cell: 2.203
Space group: F-43m, No. 216

Lattice parameters (Å, degrees): 4.7435 4.7435 4.7435 60.00 60.00 60.00
Closest atoms and distances in Å follow each position.
Sites, in units of the cell vectors:
1 Ag 0.0000 0.0000 0.0000  4 Ta 2.90, 4 Ag 2.90
2 Ag 0.2500 0.2500 0.2500  4 Sc 2.90, 4 Ag 2.90
3 Sc 0.5000 0.5000 0.5000  4 Ta 2.90, 4 Ag 2.90
4 Ta 0.7500 0.7500 0.7500  4 Sc 2.90, 4 Ag 2.90

***

The most stable arrangement is entry a, and the next structure is 262 meV per atom less stable.

***

Entry a
The following is a PBE calculation of an optimized crystal structure of ScTaAg2, from Alexandria.

## Properties
Calculated volume in Å³ per atom: 19.3
Crystal system: trigonal
M_tot in μB/cell: 0.000
Space group: R3m, No. 160

Lattice parameters (Å, degrees): 9.6988 9.6988 9.6988 18.12 18.12 18.12
Closest atoms and distances in Å follow each position.
Sites, in units of the cell vectors:
1 Ta 0.7496 0.7496 0.7496  3 Ag 2.95, 3 Sc 2.96, 6 Ta 3.05
2 Ag 0.2509 0.2509 0.2509  9 Ag 2.95-3.05, 3 Sc 3.01
3 Ag 0.0003 0.0003 0.0003  9 Ag 2.95-3.05, 3 Ta 2.95
4 Sc 0.4992 0.4992 0.4992  3 Ta 2.96, 3 Ag 3.01, 6 Sc 3.05

***

Entry b
The following is a PBE calculation of an optimized crystal structure of ScTaAg2, from Alexandria.

## Properties
Calculated volume in Å³ per atom: 18.7
Crystal system: tetragonal
M_tot in μB/cell: 0.300
Space group: I4/mmm, No. 139

Lattice parameters (Å, degrees): 5.1324 5.1324 5.1324 131.26 131.26 71.40
Closest atoms and distances in Å follow each position.
Sites, in units of the cell vectors:
1 Ta 0.7500 0.2500 0.5000  8 Ag 2.97, 4 Sc 3.00
2 Ag 0.0000 0.0000 0.0000  4 Ta 2.97, 4 Sc 2.97, 4 Ag 3.00
3 Sc 0.2500 0.7500 0.5000  8 Ag 2.97, 4 Ta 3.00
4 Ag 0.5000 0.5000 0.0000  4 Ta 2.97, 4 Sc 2.97, 4 Ag 3.00

***

The most stable arrangement is entry a, and the next structure is 119 meV per atom less stable.

***

Entry a
The following is a PBE calculation of an optimized crystal structure of ScTaAg2, from Alexandria.

## Properties
Calculated volume in Å³ per atom: 18.9
Crystal system: orthorhombic
M_tot in μB/cell: 0.000
Space group: Immm, No. 71

Lattice parameters (Å, degrees): 5.7794 5.7794 5.7794 148.81 130.21 59.93
Closest atoms and distances in Å follow each position.
Sites, in units of the cell vectors:
1 Ag 0.0057 0.0057 0.0000  6 Ag 2.89-3.11, 2 Ta 2.90, 2 Sc 3.00
2 Ag 0.4943 0.4943 0.0000  6 Ag 2.89-3.11, 2 Ta 2.90, 2 Sc 3.00
3 Sc 0.7500 0.2500 0.5000  4 Ta 2.89, 4 Ag 3.00, 2 Sc 3.11
4 Ta 0.2500 0.7500 0.5000  4 Sc 2.89, 4 Ag 2.90, 2 Ta 3.11

***

Entry b
The following is a PBE calculation of an optimized crystal structure of ScTaAg2, from Alexandria.

## Properties
Calculated volume in Å³ per atom: 18.7
Crystal system: monoclinic
M_tot in μB/cell: 0.000
Space group: Cm, No. 8

Lattice parameters (Å, degrees): 5.1499 5.1499 5.3078 80.21 80.21 32.75
Closest atoms and distances in Å follow each position.
Sites, in units of the cell vectors:
1 Ag 0.0016 0.0016 0.0167  3 Ta 2.87-2.92, 5 Ag 2.90-3.13, 4 Sc 3.02-3.03
2 Ta 0.2502 0.2502 0.2257  7 Ag 2.87-3.08, 2 Ta 2.90, 3 Sc 3.04-3.15
3 Sc 0.5012 0.5012 0.5190  7 Ag 2.87-3.03, 2 Sc 2.90, 3 Ta 3.04-3.15
4 Ag 0.7470 0.7470 0.7386  3 Sc 2.87-2.96, 5 Ag 2.90-3.13, 4 Ta 2.97-3.08

***

The most stable arrangement is entry b, and the next structure is 102 meV per atom less stable.